--- w ---
! TaZn2Cl, optimized geometry, DFT PBE; values from VASP
! * density of states at the Fermi level: 3.93 states/eV/f.u.
! * symmetry: I-4m2, No. 119
&SYSTEM
  ibrav = 0, nat = 4, ntyp = 3
/
ATOMIC_SPECIES
Cl 35.45 Cl.upf
Ta 180.95 Ta.upf
Zn 65.41 Zn.upf
CELL_PARAMETERS angstrom
-2.2486 -0.3717 4.6780
-5.1545 -0.7119 -0.0490
4.0821 -2.2113 -2.3503
ATOMIC_POSITIONS crystal
Cl 0.5000 0.5000 0.0000
Ta 0.7500 0.2500 0.5000
Zn 0.0000 0.0000 0.0000
Zn 0.2500 0.7500 0.5000

***

--- x ---
! TaZn2Cl, optimized geometry, DFT PBE; values from VASP
! * density of states at the Fermi level: 4.10 states/eV/f.u.
! * symmetry: Fm-3m, No. 225
&SYSTEM
  ibrav = 0, nat = 4, ntyp = 3
/
ATOMIC_SPECIES
Zn 65.41 Zn.upf
Cl 35.45 Cl.upf
Ta 180.95 Ta.upf
CELL_PARAMETERS angstrom
0.0000 3.3349 3.3349
3.3349 0.0000 3.3349
3.3349 3.3349 0.0000
ATOMIC_POSITIONS crystal
Zn 0.2500 0.2500 0.2500
Zn 0.7500 0.7500 0.7500
Cl 0.0000 0.0000 0.0000
Ta 0.5000 0.5000 0.5000

***

--- y ---
! TaZn2Cl, optimized geometry, DFT PBE; values from VASP
! * density of states at the Fermi level: 3.13 states/eV/f.u.
! * symmetry: I4/mmm, No. 139
&SYSTEM
  ibrav = 0, nat = 4, ntyp = 3
/
ATOMIC_SPECIES
Cl 35.45 Cl.upf
Ta 180.95 Ta.upf
Zn 65.41 Zn.upf
CELL_PARAMETERS angstrom
5.5027 0.0138 0.0000
3.0585 4.5745 0.0000
-4.2806 -2.2942 2.5872
ATOMIC_POSITIONS crystal
Cl 0.2500 0.7500 0.5000
Ta 0.7500 0.2500 0.5000
Zn 0.0000 0.0000 0.0000
Zn 0.5000 0.5000 0.0000

***

--- z ---
! TaZn2Cl, optimized geometry, DFT PBE; values from VASP
! * density of states at the Fermi level: 2.77 states/eV/f.u.
! * symmetry: Immm, No. 71
&SYSTEM
  ibrav = 0, nat = 4, ntyp = 3
/
ATOMIC_SPECIES
Cl 35.45 Cl.upf
Ta 180.95 Ta.upf
Zn 65.41 Zn.upf
CELL_PARAMETERS angstrom
6.6278 0.3554 0.0270
4.4063 4.9637 -0.0270
-5.0825 -3.5610 2.3542
ATOMIC_POSITIONS crystal
Cl 0.7500 0.2500 0.5000
Ta 0.2500 0.7500 0.5000
Zn 0.0440 0.0440 0.0000
Zn 0.4560 0.4560 0.0000

***

Most stable one: z, least stable one: x.

***

--- w ---
! TaZn2Cl, optimized geometry, DFT PBE; values from VASP
! * density of states at the Fermi level: 1.30 states/eV/f.u.
! * symmetry: Cm, No. 8
&SYSTEM
  ibrav = 0, nat = 4, ntyp = 3
/
ATOMIC_SPECIES
Cl 35.45 Cl.upf
Ta 180.95 Ta.upf
Zn 65.41 Zn.upf
CELL_PARAMETERS angstrom
4.8990 -0.0039 0.0480
4.0073 2.8181 0.0480
1.8930 0.5982 4.8831
ATOMIC_POSITIONS crystal
Cl 0.5207 0.5207 0.4191
Ta 0.2576 0.2576 0.3230
Zn 0.9875 0.9875 0.9343
Zn 0.7342 0.7342 0.8235

***

--- x ---
! TaZn2Cl, optimized geometry, DFT PBE; values from VASP
! * density of states at the Fermi level: 3.16 states/eV/f.u.
! * symmetry: I-42d, No. 122
&SYSTEM
  ibrav = 0, nat = 8, ntyp = 3
/
ATOMIC_SPECIES
Zn 65.41 Zn.upf
Cl 35.45 Cl.upf
Ta 180.95 Ta.upf
CELL_PARAMETERS angstrom
8.0729 0.0000 0.0000
0.0000 8.0729 0.0000
4.0364 4.0364 2.4225
ATOMIC_POSITIONS crystal
Zn 0.6655 0.1250 0.2500
Zn 0.0845 0.6250 0.2500
Zn 0.3750 0.3345 0.7500
Zn 0.8750 0.9155 0.7500
Cl 0.5000 0.5000 0.0000
Cl 0.2500 0.7500 0.5000
Ta 0.0000 0.0000 0.0000
Ta 0.7500 0.2500 0.5000

***

Most stable one: w, least stable one: x.